Computed, not measured: crystalline Dy4Ho5Tm4 at its relaxed geometry at the PBE level of DFT.

Cell lengths 9.287, 9.287, 9.287 Å; angles 94.09, 94.09, 149.02 degrees
Fractional coordinates of all 13 atoms:
Dy  0.154  0.769  0.923
Dy  0.231  0.154  0.385
Dy  0.769  0.846  0.615
Dy  0.846  0.231  0.077
Ho  0.000  0.000  0.000
Ho  0.307  0.538  0.845
Ho  0.462  0.307  0.769
Ho  0.538  0.693  0.231
Ho  0.693  0.462  0.155
Tm  0.077  0.385  0.462
Tm  0.385  0.923  0.309
Tm  0.615  0.077  0.691
Tm  0.923  0.615  0.538

Properties
space group: I4/m
energy of formation: 0.3 eV per formula unit

=====

Computed, not measured: crystalline ZrPb2W at its relaxed geometry at the PBE level of DFT.

Cell lengths 3.457, 3.457, 7.283 Å; angles 90.00, 90.00, 90.00 degrees
Fractional coordinates of all 4 atoms:
Zr  0.000  0.000  0.000
Pb  0.500  0.500  0.271
Pb  0.500  0.500  0.729
W  0.000  0.000  0.500

Properties
relative energy among the computed polymorphs: 1.00 eV per formula unit
space group: P4/mmm
energy of formation: 2.4 eV per formula unit

=====

Computed, not measured: crystalline Tb5Pm2Dy at its relaxed geometry at the PBE level of DFT.

Cell lengths 6.679, 8.874, 9.609 Å; angles 88.48, 85.71, 67.95 degrees
Fractional coordinates of all 16 atoms:
Tb  0.055  0.255  0.114
Tb  0.184  0.514  0.408
Tb  0.300  0.515  0.091
Tb  0.310  0.745  0.613
Tb  0.339  0.325  0.750
Tb  0.661  0.675  0.250
Tb  0.690  0.255  0.387
Tb  0.700  0.485  0.909
Tb  0.816  0.486  0.592
Tb  0.945  0.745  0.886
Pm  0.262  0.110  0.428
Pm  0.371  0.890  0.928
Pm  0.629  0.110  0.072
Pm  0.738  0.890  0.572
Dy  0.060  0.879  0.250
Dy  0.940  0.121  0.750

Properties
relative energy among the computed polymorphs: 1.06 eV per formula unit
space group: P-1
energy of formation: 1.2 eV per formula unit

=====

Computed, not measured: crystalline Pr3TmTh2Sb6 at its relaxed geometry at the PBE level of DFT.

Cell lengths 10.088, 10.088, 9.012 Å; angles 103.20, 103.20, 25.84 degrees
Fractional coordinates of all 12 atoms:
Pr  0.000  0.000  0.000
Pr  0.333  0.333  0.666
Pr  0.667  0.667  0.334
Tm  0.000  0.000  0.500
Th  0.335  0.335  0.170
Th  0.665  0.665  0.830
Sb  0.163  0.163  0.583
Sb  0.168  0.168  0.081
Sb  0.500  0.500  0.260
Sb  0.500  0.500  0.740
Sb  0.832  0.832  0.919
Sb  0.837  0.837  0.417

Properties
space group: C2/m
E_form (uncorrected): -1.086 eV/atom